Density functional theory data (PBE with a Hubbard U) for a relaxed structure of PuMnAg2O6.

Unit cell a=5.695 b=5.630 c=5.641 alpha=61.26 beta=61.70 gamma=58.15
Element x y z (fractional)
Mn (0.816, 0.816, 0.551)
O (0.660, 0.054, 0.794)
Pu (0.316, 0.316, 0.052)
O (0.570, 0.143, 0.315)
O (0.460, 0.630, 0.820)
Ag (0.055, 0.080, 0.793)
O (0.063, 0.489, 0.788)
Ag (0.577, 0.552, 0.310)
O (0.972, 0.578, 0.309)
O (0.172, 0.002, 0.283)

Properties
total energy = -71.232 eV/cell
theoretical density = 7.88 g/cm³